Computed, not measured: a relaxed structure of ReNiTeI2 at the PBE-GGA level of DFT.

excess energy over the best structure of this formula in the dataset: 0 meV/atom
DFT total energy: -18.324 eV/cell
size of the total moment: 1.81 μB per formula unit

Cell: 5.5330 5.5330 5.0274 Å, 90.00 90.00 90.00°
Space group P4/mmm (No. 123)
Inequivalent atoms, fractional coordinates:
Re 0.0000 0.0000 0.0000 x1
Ni 0.5000 0.5000 0.5000 x1
Te 0.0000 0.0000 0.5000 x1
I 0.0000 0.5000 0.0000 x2

---

Computed, not measured: a relaxed structure of TmSc2Ti at the PBE-GGA level of DFT.

calculated formation energy: 139 meV/atom
excess energy over the best structure of this formula in the dataset: 13 meV/atom
DFT total energy: -24.475 eV/cell
size of the total moment: 1.79 μB per formula unit

Cell: 3.5554 3.5554 7.6796 Å, 90.00 90.00 90.00°
Space group P4/mmm (No. 123)
Inequivalent atoms, fractional coordinates:
Tm 0.0000 0.0000 0.0000 x1
Sc 0.5000 0.5000 0.2932 x2
Ti 0.0000 0.0000 0.5000 x1

---

Computed, not measured: a relaxed structure of Sr2TlCd5 at the PBE-GGA level of DFT.

calculated formation energy: -277 meV/atom
DFT total energy: -50.090 eV/cell
size of the total moment: 0.00 μB per formula unit

Cell: 4.9240 18.2409 10.3192 Å, 90.00 90.00 90.00°
Space group Cmcm (No. 63)
Inequivalent atoms, fractional coordinates:
Sr 0.0000 0.0000 0.0000 x4
Sr 0.0000 0.1956 0.2500 x4
Tl 0.0000 0.4493 0.7500 x4
Cd 0.0000 0.1899 0.6075 x8
Cd 0.0000 0.3501 0.5232 x8
Cd 0.0000 0.3917 0.2500 x4

---

Computed, not measured: a relaxed structure of Cs2PaRh3O12 at the PBE-GGA level of DFT.

DFT total energy: -346.918 eV/cell
size of the total moment: 1.67 μB per formula unit

Cell: 7.2768 7.2768 19.2313 Å, 90.00 90.00 120.00°
Space group R-3m (No. 166, hexagonal axes)
Inequivalent atoms, fractional coordinates:
Cs 0.0000 0.0000 0.1158 x6
Pa 0.0000 0.0000 0.5000 x3
Rh 0.0000 0.5000 0.0000 x9
O 0.0604 0.5302 0.1007 x18
O 0.0721 0.5361 0.3482 x18

---

Computed, not measured: a relaxed structure of Tb3Ce2Y6Ho at the PBE-GGA level of DFT.

calculated formation energy: 49 meV/atom
DFT total energy: -137.058 eV/cell
size of the total moment: 1.85 μB per formula unit

Cell: 6.1642 10.6740 11.7783 Å, 90.00 100.03 90.00°
Space group C2/m (No. 12)
Inequivalent atoms, fractional coordinates:
Tb 0.0000 0.0000 0.0000 x2
Tb 0.0000 0.3340 0.0000 x4
Ce 0.0000 0.1665 0.5000 x4
Y 0.2482 0.0000 0.7487 x4
Y 0.2492 0.1675 0.2515 x8
Ho 0.0000 0.5000 0.5000 x2

---

Computed, not measured: a relaxed structure of CaNd2Rh at the PBE-GGA level of DFT.

calculated formation energy: -216 meV/atom
excess energy over the best structure of this formula in the dataset: 167 meV/atom
DFT total energy: -59.253 eV/cell
size of the total moment: 0.00 μB per formula unit

Cell: 3.9641 3.9641 32.4016 Å, 90.00 90.00 120.00°
Space group R-3m (No. 166, hexagonal axes)
Inequivalent atoms, fractional coordinates:
Ca 0.0000 0.0000 0.0000 x3
Nd 0.0000 0.0000 0.1162 x6
Rh 0.0000 0.0000 0.5000 x3

---

Mass density list, top to bottom, in Mg/m³: 6.76 5.25 6.75 5.63 6.33 4.87